(P)
Bi2Pd5Pt after structural relaxation. Source: Alexandria via LeMat-Bulk, functional GGA-PBE.

Properties
Size of the total moment = 0.00 μB/cell

```
data_Bi2Pd5Pt
_chemical_formula_sum 'Bi8 Pd20 Pt4'
_symmetry_space_group_name_H-M 'P 1 21/c 1'
_symmetry_Int_Tables_number 14
_symmetry_space_group_name_Hall '-P 2ybc'
_cell_length_a 4.9798
_cell_length_b 11.9337
_cell_length_c 9.7362
_cell_angle_alpha 90.00
_cell_angle_beta 93.66
_cell_angle_gamma 90.00
loop_
_atom_site_label
_atom_site_type_symbol
_atom_site_fract_x
_atom_site_fract_y
_atom_site_fract_z
Bi1 Bi 0.1614 0.1362 0.4015
Bi2 Bi 0.3065 0.5104 0.6279
Pd1 Pd 0.1725 0.6298 0.3660
Pd2 Pd 0.1861 0.1227 0.8737
Pd3 Pd 0.3282 0.5010 0.1251
Pd4 Pd 0.3299 0.7484 0.1146
Pd5 Pd 0.3367 0.2468 0.1366
Pt1 Pt 0.1772 0.6349 0.8647
```



(Q)
Bi2Pd5Pt after structural relaxation. Source: Alexandria via LeMat-Bulk, functional GGA-PBE.

Properties
Size of the total moment = 0.00 μB/cell

```
data_Bi2Pd5Pt
_chemical_formula_sum 'Bi4 Pd10 Pt2'
_symmetry_space_group_name_H-M 'P b a m'
_symmetry_Int_Tables_number 55
_symmetry_space_group_name_Hall '-P 2 2ab'
_cell_length_a 5.8539
_cell_length_b 11.7177
_cell_length_c 4.1458
_cell_angle_alpha 90.00
_cell_angle_beta 90.00
_cell_angle_gamma 90.00
loop_
_atom_site_label
_atom_site_type_symbol
_atom_site_fract_x
_atom_site_fract_y
_atom_site_fract_z
Bi1 Bi 0.2444 0.1261 0.0000
Pd1 Pd 0.0000 0.0000 0.5000
Pd2 Pd 0.0094 0.7488 0.5000
Pd3 Pd 0.2442 0.3761 0.0000
Pt1 Pt 0.0000 0.5000 0.5000
```



The structure with the greatest stability is (Q).



(P)
BiPd8Pt2 after structural relaxation. Source: Alexandria via LeMat-Bulk, functional GGA-PBE.

Properties
Size of the total moment = 0.00 μB/cell

```
data_BiPd8Pt2
_chemical_formula_sum 'Bi2 Pd16 Pt4'
_symmetry_space_group_name_H-M 'C 1 2/m 1'
_symmetry_Int_Tables_number 12
_symmetry_space_group_name_Hall '-C 2y'
_cell_length_a 14.4914
_cell_length_b 4.0409
_cell_length_c 6.2662
_cell_angle_alpha 90.00
_cell_angle_beta 104.30
_cell_angle_gamma 90.00
loop_
_atom_site_label
_atom_site_type_symbol
_atom_site_fract_x
_atom_site_fract_y
_atom_site_fract_z
Bi1 Bi 0.0000 0.0000 0.0000
Pd1 Pd 0.0477 0.5000 0.7232
Pd2 Pd 0.0930 0.0000 0.4593
Pd3 Pd 0.1388 0.5000 0.1877
Pd4 Pd 0.1849 0.0000 0.9097
Pt1 Pt 0.2270 0.5000 0.6337
```



(Q)
BiPd8Pt2 after structural relaxation. Source: Alexandria via LeMat-Bulk, functional GGA-PBE.

Properties
Size of the total moment = 0.00 μB/cell

```
data_BiPd8Pt2
_chemical_formula_sum 'Bi2 Pd16 Pt4'
_symmetry_space_group_name_H-M 'C 1 2/m 1'
_symmetry_Int_Tables_number 12
_symmetry_space_group_name_Hall '-C 2y'
_cell_length_a 13.1308
_cell_length_b 5.3892
_cell_length_c 5.4550
_cell_angle_alpha 90.00
_cell_angle_beta 101.43
_cell_angle_gamma 90.00
loop_
_atom_site_label
_atom_site_type_symbol
_atom_site_fract_x
_atom_site_fract_y
_atom_site_fract_z
Bi1 Bi 0.0000 0.0000 0.0000
Pd1 Pd 0.0815 0.5000 0.1881
Pd2 Pd 0.0923 0.2554 0.6621
Pd3 Pd 0.2409 0.0000 0.9988
Pt1 Pt 0.2380 0.0000 0.4798
```



The structure with the greatest stability is (P).



(P)
Bi2Pd6Pt after structural relaxation. Source: Alexandria via LeMat-Bulk, functional GGA-PBE.

Properties
Size of the total moment = 0.00 μB/cell

```
data_Bi2Pd6Pt
_chemical_formula_sum 'Bi4 Pd12 Pt2'
_symmetry_space_group_name_H-M 'C 1 2/m 1'
_symmetry_Int_Tables_number 12
_symmetry_space_group_name_Hall '-C 2y'
_cell_length_a 8.9039
_cell_length_b 4.2486
_cell_length_c 8.6553
_cell_angle_alpha 90.00
_cell_angle_beta 104.87
_cell_angle_gamma 90.00
loop_
_atom_site_label
_atom_site_type_symbol
_atom_site_fract_x
_atom_site_fract_y
_atom_site_fract_z
Bi1 Bi 0.1707 0.0000 0.2302
Pd1 Pd 0.0006 0.5000 0.3356
Pd2 Pd 0.1601 0.0000 0.5515
Pd3 Pd 0.1665 0.0000 0.8921
Pt1 Pt 0.0000 0.5000 0.0000
```



(Q)
Bi2Pd6Pt after structural relaxation. Source: Alexandria via LeMat-Bulk, functional GGA-PBE.

Properties
Size of the total moment = 0.00 μB/cell

```
data_Bi2Pd6Pt
_chemical_formula_sum 'Bi4 Pd12 Pt2'
_symmetry_space_group_name_H-M 'C 1 2/m 1'
_symmetry_Int_Tables_number 12
_symmetry_space_group_name_Hall '-C 2y'
_cell_length_a 9.9562
_cell_length_b 5.3943
_cell_length_c 6.4645
_cell_angle_alpha 90.00
_cell_angle_beta 103.65
_cell_angle_gamma 90.00
loop_
_atom_site_label
_atom_site_type_symbol
_atom_site_fract_x
_atom_site_fract_y
_atom_site_fract_z
Bi1 Bi 0.1597 0.0000 0.1745
Pd1 Pd 0.0820 0.2447 0.7022
Pd2 Pd 0.1879 0.5000 0.3937
Pt1 Pt 0.0000 0.5000 0.0000
```



The structure with the greatest stability is (P).



(P)
Bi2PdPt2 after structural relaxation. Source: Alexandria via LeMat-Bulk, functional GGA-PBE.

Properties
Size of the total moment = 0.00 μB/cell

```
data_Bi2PdPt2
_chemical_formula_sum 'Bi6 Pd3 Pt6'
_symmetry_space_group_name_H-M 'R -3 m'
_symmetry_Int_Tables_number 166
_symmetry_space_group_name_Hall '-R 3 2"'
_cell_length_a 4.2589
_cell_length_b 4.2589
_cell_length_c 20.9080
_cell_angle_alpha 90.00
_cell_angle_beta 90.00
_cell_angle_gamma 120.00
loop_
_atom_site_label
_atom_site_type_symbol
_atom_site_fract_x
_atom_site_fract_y
_atom_site_fract_z
Bi1 Bi 0.0000 0.0000 0.0913
Pd1 Pd 0.0000 0.0000 0.5000
Pt1 Pt 0.0000 0.0000 0.3635
```



(Q)
Bi2PdPt2 after structural relaxation. Source: Alexandria via LeMat-Bulk, functional GGA-PBE.

Properties
Size of the total moment = 0.00 μB/cell

```
data_Bi2PdPt2
_chemical_formula_sum 'Bi4 Pd2 Pt4'
_symmetry_space_group_name_H-M 'P 4/m b m'
_symmetry_Int_Tables_number 127
_symmetry_space_group_name_Hall '-P 4 2ab'
_cell_length_a 7.4563
_cell_length_b 7.4563
_cell_length_c 3.7954
_cell_angle_alpha 90.00
_cell_angle_beta 90.00
_cell_angle_gamma 90.00
loop_
_atom_site_label
_atom_site_type_symbol
_atom_site_fract_x
_atom_site_fract_y
_atom_site_fract_z
Bi1 Bi 0.1713 0.3287 0.0000
Pd1 Pd 0.0000 0.0000 0.5000
Pt1 Pt 0.1338 0.6338 0.5000
```



(R)
Bi2PdPt2 after structural relaxation. Source: Alexandria via LeMat-Bulk, functional GGA-PBE.

Properties
Size of the total moment = 0.00 μB/cell

```
data_Bi2PdPt2
_chemical_formula_sum 'Bi8 Pd4 Pt8'
_symmetry_space_group_name_H-M 'C 1 2/m 1'
_symmetry_Int_Tables_number 12
_symmetry_space_group_name_Hall '-C 2y'
_cell_length_a 11.7394
_cell_length_b 3.9499
_cell_length_c 10.0980
_cell_angle_alpha 90.00
_cell_angle_beta 115.53
_cell_angle_gamma 90.00
loop_
_atom_site_label
_atom_site_type_symbol
_atom_site_fract_x
_atom_site_fract_y
_atom_site_fract_z
Bi1 Bi 0.0089 0.0000 0.3292
Bi2 Bi 0.2032 0.0000 0.1203
Pd1 Pd 0.1869 0.5000 0.3249
Pt1 Pt 0.0651 0.5000 0.9139
Pt2 Pt 0.1301 0.5000 0.5712
```



(S)
Bi2PdPt2 after structural relaxation. Source: Alexandria via LeMat-Bulk, functional GGA-PBE.

Properties
Size of the total moment = 0.00 μB/cell

```
data_Bi2PdPt2
_chemical_formula_sum 'Bi4 Pd2 Pt4'
_symmetry_space_group_name_H-M 'P 4/m b m'
_symmetry_Int_Tables_number 127
_symmetry_space_group_name_Hall '-P 4 2ab'
_cell_length_a 7.8059
_cell_length_b 7.8059
_cell_length_c 3.5466
_cell_angle_alpha 90.00
_cell_angle_beta 90.00
_cell_angle_gamma 90.00
loop_
_atom_site_label
_atom_site_type_symbol
_atom_site_fract_x
_atom_site_fract_y
_atom_site_fract_z
Bi1 Bi 0.1663 0.3337 0.0000
Pd1 Pd 0.0000 0.0000 0.0000
Pt1 Pt 0.1333 0.6333 0.5000
```



The structure with the greatest stability is (P).



(P)
BiPd5Pt after structural relaxation. Source: Alexandria via LeMat-Bulk, functional GGA-PBE.

Properties
Size of the total moment = 0.00 μB/cell

```
data_BiPd5Pt
_chemical_formula_sum 'Bi1 Pd5 Pt1'
_symmetry_space_group_name_H-M 'P 4/m m m'
_symmetry_Int_Tables_number 123
_symmetry_space_group_name_Hall '-P 4 2'
_cell_length_a 4.1659
_cell_length_b 4.1659
_cell_length_c 7.2936
_cell_angle_alpha 90.00
_cell_angle_beta 90.00
_cell_angle_gamma 90.00
loop_
_atom_site_label
_atom_site_type_symbol
_atom_site_fract_x
_atom_site_fract_y
_atom_site_fract_z
Bi1 Bi 0.0000 0.0000 0.0000
Pd1 Pd 0.0000 0.5000 0.2746
Pd2 Pd 0.5000 0.5000 0.0000
Pt1 Pt 0.0000 0.0000 0.5000
```



(Q)
BiPd5Pt after structural relaxation. Source: Alexandria via LeMat-Bulk, functional GGA-PBE.

Properties
Size of the total moment = 0.00 μB/cell

```
data_BiPd5Pt
_chemical_formula_sum 'Bi2 Pd10 Pt2'
_symmetry_space_group_name_H-M 'I m m 2'
_symmetry_Int_Tables_number 44
_symmetry_space_group_name_Hall 'I 2 -2'
_cell_length_a 5.0541
_cell_length_b 5.3781
_cell_length_c 9.4048
_cell_angle_alpha 90.00
_cell_angle_beta 90.00
_cell_angle_gamma 90.00
loop_
_atom_site_label
_atom_site_type_symbol
_atom_site_fract_x
_atom_site_fract_y
_atom_site_fract_z
Bi1 Bi 0.0000 0.0000 0.0000
Pd1 Pd 0.0000 0.0000 0.2797
Pd2 Pd 0.0000 0.2564 0.7543
Pd3 Pd 0.2491 0.5000 0.0302
Pt1 Pt 0.0000 0.5000 0.3003
```



The structure with the greatest stability is (P).